1.
The following is a GGA-PBEsol calculation of Zn3Fe after structural relaxation, from the Alexandria database.

a = 2.639 Å, b = 2.639 Å, c = 8.570 Å
α = 90.00°, β = 90.00°, γ = 120.00°
Site moments in Bohr magnetons follow the coordinates.
Atoms (fractional coordinates):
Zn: 0.667 0.333 0.239  -0.03
Zn: 0.667 0.333 0.761  -0.03
Zn: 0.000 0.000 0.500  0.00
Fe: 0.000 0.000 0.000  2.30

## Properties
Magnetic moment (μB/f.u.): 2.18
ΔH_f (0 K) (eV/f.u.): 0.1

2.
The following is a GGA-PBEsol calculation of CrCoCu2 after structural relaxation, from the Alexandria database.

a = 2.473 Å, b = 2.473 Å, c = 8.349 Å
α = 81.48°, β = 81.48°, γ = 60.00°
Atoms (fractional coordinates):
Co: 0.503 0.503 0.492
Cu: 0.751 0.751 0.746
Cu: 0.000 0.000 0.999
Cr: 0.246 0.246 0.263

## Properties
Magnetic moment (μB/f.u.): 0.00
ΔH_f (0 K) (eV/f.u.): 0.5

3.
The following is a GGA-PBEsol calculation of ZnAs2Br after structural relaxation, from the Alexandria database.

a = 3.638 Å, b = 3.979 Å, c = 6.234 Å
α = 98.57°, β = 106.97°, γ = 90.00°
Atoms (fractional coordinates):
Zn: 0.500 0.500 0.000
As: 0.714 0.662 0.429
As: 0.286 0.338 0.571
Br: 0.000 0.000 0.000

## Properties
Magnetic moment (μB/f.u.): 0.00
Distance to the lowest polymorph of the same formula (meV per atom): 0
ΔE_f (raw) (eV/atom): -0.132

4.
The following is a GGA-PBEsol calculation of KLiTl2 after structural relaxation, from the Alexandria database.

a = 3.540 Å, b = 3.580 Å, c = 8.507 Å
α = 90.00°, β = 90.00°, γ = 90.00°
Atoms (fractional coordinates):
Tl: 0.000 0.000 0.312
Tl: 0.000 0.000 0.688
K: 0.500 0.500 0.000
Li: 0.500 0.500 0.500

## Properties
Magnetic moment (μB/f.u.): 0.00
Distance to the lowest polymorph of the same formula (meV per atom): 0
ΔH_f (0 K) (eV/f.u.): -0.6

5.
The following is a GGA-PBEsol calculation of LaCo2PdPt after structural relaxation, from the Alexandria database.

a = 4.386 Å, b = 4.386 Å, c = 5.050 Å
α = 90.00°, β = 90.00°, γ = 90.00°
Site moments in Bohr magnetons follow the coordinates.
Atoms (fractional coordinates):
Co: 0.500 0.000 0.000  0.44
Co: 0.000 0.500 0.000  0.44
La: 0.000 0.000 0.000  -0.07
Pd: 0.500 0.500 0.500  0.01
Pt: 0.000 0.000 0.500  0.00

## Properties
Magnetic moment (μB/f.u.): 0.79
ΔH_f (0 K) (eV/f.u.): 7.7

6.
The following is a GGA-PBEsol calculation of Zr2MnFe after structural relaxation, from the Alexandria database.

a = 4.423 Å, b = 4.423 Å, c = 4.423 Å
α = 60.00°, β = 60.00°, γ = 60.00°
Site moments in Bohr magnetons follow the coordinates.
Atoms (fractional coordinates):
Mn: 0.500 0.500 0.500  0.30
Fe: 0.000 0.000 0.000  0.19
Zr: 0.250 0.250 0.250  -0.06
Zr: 0.750 0.750 0.750  -0.06

## Properties
Magnetic moment (μB/f.u.): 0.33
Distance to the lowest polymorph of the same formula (meV per atom): 3
ΔH_f (0 K) (eV/f.u.): -0.5